a:
The following is a GGA-PBE calculation of a relaxed structure of NbNiI2N, from the Alexandria database.

Geometry as POSCAR:
```
NbNiI2N
1.0
5.685 0.000 0.000
0.000 5.685 0.000
0.000 0.000 3.895
I N Ni Nb
2 1 1 1
Cartesian
0.000 2.842 0.000
2.842 0.000 0.000
0.000 0.000 1.947
2.842 2.842 1.947
0.000 0.000 0.000
```

Results
- Total moment: 1.53 μB per formula unit

b:
The following is a GGA-PBE calculation of a relaxed structure of NbNiI2N, from the Alexandria database.

Geometry as POSCAR:
```
NbNiI2N
1.0
-4.511 -1.209 2.934
2.270 -4.793 1.515
1.391 1.536 2.772
Ni I Nb N
1 2 1 1
Cartesian
0.000 0.000 0.000
1.135 -2.396 0.758
-2.256 -0.605 1.467
-0.425 -2.233 3.611
0.696 0.768 1.386
```

Results
- Total moment: 2.80 μB per formula unit

Going by the energies, a is most stable and the next is 27.0 kJ/mol of atoms up.

a:
The following is a GGA-PBE calculation of a relaxed structure of NbI2NO, from the Alexandria database.

Geometry as POSCAR:
```
NbI2NO
1.0
-1.701 -3.415 4.211
-3.012 -3.074 -3.709
3.108 -2.305 -0.614
I N Nb O
2 1 1 1
Cartesian
-0.850 -1.707 2.105
-1.506 -1.537 -1.855
-0.802 -4.397 -0.056
0.000 0.000 0.000
1.554 -1.153 -0.307
```

Results
- Total moment: 2.82 μB per formula unit

b:
The following is a GGA-PBE calculation of a relaxed structure of NbI2NO, from the Alexandria database.

Geometry as POSCAR:
```
NbI2NO
1.0
4.876 0.000 0.000
0.000 4.876 0.000
0.000 0.000 3.711
I O Nb N
2 1 1 1
Cartesian
0.000 2.438 0.000
2.438 0.000 0.000
0.000 0.000 0.000
2.438 2.438 1.855
0.000 0.000 1.855
```

Results
- Total moment: 0.00 μB per formula unit

Going by the energies, a is most stable and the next is 122.1 kJ/mol of atoms up.

a:
The following is a GGA-PBE calculation of a relaxed structure of NbI2NO, from the Alexandria database.

Geometry as POSCAR:
```
NbI2NO
1.0
-0.832 3.489 3.431
-4.292 1.152 -2.212
-1.710 -2.428 2.054
Nb I N O
1 2 1 1
Cartesian
-3.417 1.106 1.637
-2.146 0.576 -1.106
-0.416 1.744 1.716
0.000 0.000 0.000
-0.855 -1.214 1.027
```

Results
- Total moment: 1.81 μB per formula unit

b:
The following is a GGA-PBE calculation of a relaxed structure of NbI2NO, from the Alexandria database.

Geometry as POSCAR:
```
NbI2NO
1.0
5.657 0.000 0.000
0.000 5.657 0.000
0.000 0.000 3.913
O Nb I N
1 1 2 1
Cartesian
2.829 2.829 1.957
0.000 0.000 0.000
2.829 0.000 0.000
0.000 2.829 0.000
0.000 0.000 1.957
```

Results
- Total moment: 1.88 μB per formula unit

Going by the energies, b is most stable and the next is 73.4 kJ/mol of atoms up.

a:
The following is a GGA-PBE calculation of a relaxed structure of NbOsI2N, from the Alexandria database.

Geometry as POSCAR:
```
NbOsI2N
1.0
-0.466 5.588 -0.941
-4.590 -0.925 -3.225
-2.265 0.338 3.127
I Os Nb N
2 1 1 1
Cartesian
-0.233 2.794 -0.470
-2.295 -0.463 -1.612
-3.660 2.500 -0.519
0.000 0.000 0.000
-1.133 0.169 1.564
```

Results
- Total moment: 3.95 μB per formula unit

b:
The following is a GGA-PBE calculation of a relaxed structure of NbOsI2N, from the Alexandria database.

Geometry as POSCAR:
```
NbOsI2N
1.0
-1.206 0.899 -5.339
3.869 -3.683 -1.494
-2.536 -2.712 0.116
N I Os Nb
1 2 1 1
Cartesian
-1.268 -1.356 0.058
1.935 -1.841 -0.747
-0.603 0.450 -2.669
0.000 0.000 0.000
0.064 -2.748 -3.358
```

Results
- Total moment: 3.20 μB per formula unit

Going by the energies, b is most stable and the next is 34.9 kJ/mol of atoms up.

a:
The following is a GGA-PBE calculation of a relaxed structure of NbPI2N, from the Alexandria database.

Geometry as POSCAR:
```
NbPI2N
1.0
-2.244 5.180 -0.450
-2.786 -1.612 -4.660
-3.018 -1.117 2.191
Nb I N P
1 2 1 1
Cartesian
0.000 0.000 0.000
-1.122 2.590 -0.225
-1.393 -0.806 -2.330
-1.509 -0.559 1.095
-4.024 1.225 -1.460
```

Results
- Total moment: 0.35 μB per formula unit

b:
The following is a GGA-PBE calculation of a relaxed structure of NbPI2N, from the Alexandria database.

Geometry as POSCAR:
```
NbPI2N
1.0
5.666 0.000 0.000
0.000 5.666 0.000
0.000 0.000 3.387
P N I Nb
1 1 2 1
Cartesian
0.000 0.000 0.000
0.000 0.000 1.693
0.000 2.833 0.000
2.833 0.000 0.000
2.833 2.833 1.693
```

Results
- Total moment: 2.54 μB per formula unit

Going by the energies, a is most stable and the next is 27.9 kJ/mol of atoms up.

a:
The following is a GGA-PBE calculation of a relaxed structure of NbPbIN2, from the Alexandria database.

Geometry as POSCAR:
```
NbPbIN2
1.0
-2.863 3.204 -0.520
-1.351 -0.547 4.075
4.337 4.201 2.002
N I Pb Nb
2 1 1 1
Cartesian
-0.676 -0.273 2.037
-1.431 1.602 -0.260
2.169 2.100 1.001
0.000 0.000 0.000
0.062 3.429 2.778
```

Results
- Total moment: 4.14 μB per formula unit

b:
The following is a GGA-PBE calculation of a relaxed structure of NbPbIN2, from the Alexandria database.

Geometry as POSCAR:
```
NbPbIN2
1.0
-1.460 -2.441 3.176
3.690 0.495 2.077
-2.055 4.564 2.563
Nb N I Pb
1 2 1 1
Cartesian
0.000 0.000 0.000
-0.730 -1.220 1.588
1.845 0.248 1.038
-1.027 2.282 1.281
0.088 1.309 3.908
```

Results
- Total moment: 0.00 μB per formula unit

Going by the energies, b is most stable and the next is 144.0 kJ/mol of atoms up.